Te2Mo2WS4 PBE relaxed; distance to the lowest polymorph of the same formula = 0.000 eV per atom; E_tot = -6.9682 eV per atom; space group = No. 156; formation energy from raw total energies = -512 kJ/mol of formula units
1.0
3.2994 0.0000 0.0000
-1.6497 2.8574 0.0000
0.0000 0.0000 22.3446
Te Mo W S
2 2 1 4
direct
0.0000 0.0000 0.0000 Te
0.0000 0.0000 0.1717 Te
0.0000 0.0000 0.4134 Mo
0.6667 0.3333 0.0858 Mo
0.6667 0.3333 0.7226 W
0.0000 0.0000 0.6539 S
0.0000 0.0000 0.7914 S
0.6667 0.3333 0.3450 S
0.6667 0.3333 0.4818 S